DFT (PBE) results for an optimized crystal structure of Pu2HgAu.

a b c (Å): 5.2326 5.2326 5.2326
angles (deg): 60.00 60.00 60.00
Last column: nearest neighbours and their distance in Å.
Fractional coordinates of all 4 atoms:
Pu1 0.7500 0.7500 0.7500  4 Hg 3.20, 4 Au 3.20
Pu2 0.2500 0.2500 0.2500  4 Hg 3.20, 4 Au 3.20
Au1 0.0000 0.0000 0.0000  8 Pu 3.20
Hg1 0.5000 0.5000 0.5000  8 Pu 3.20

## Properties
* energy above the lowest structure with this stoichiometry: 0.021 eV per atom
* energy: -8.282 eV per atom
* calculated formation energy: -0.22 eV per atom